Entry 1:
Material: KHf2I
Method: DFT, GGA-PBE
State: relaxed

Results
ρ   8.227 g cm⁻³
Calculated volume   106 Å³ per cell
Raw formation energy   1174 meV per atom

Cell lengths 5.305, 5.305, 5.305 Å; angles 60.00, 60.00, 60.00 degrees
Element x y z (fractional)
K 0.000 0.000 0.000
Hf 0.250 0.250 0.250
Hf 0.750 0.750 0.750
I 0.500 0.500 0.500

***

Entry 2:
Material: KHfI6
Method: DFT, GGA-PBE
State: relaxed

Results
ρ   4.317 g cm⁻³
Calculated volume   377 Å³ per cell
Raw formation energy   -843 meV per atom

Cell lengths 8.015, 8.040, 8.122 Å; angles 61.19, 60.90, 60.25 degrees
Element x y z (fractional)
K 0.000 0.000 0.000
Hf 0.500 0.500 0.500
I 0.106 0.474 0.740
I 0.316 0.894 0.268
I 0.480 0.677 0.743
I 0.520 0.323 0.257
I 0.684 0.106 0.732
I 0.894 0.526 0.260

***

Entry 3:
Material: KHfI5
Method: DFT, GGA-PBE
State: relaxed

Results
ρ   3.843 g cm⁻³
Calculated volume   736 Å³ per cell
Raw formation energy   -1020 meV per atom

Cell lengths 9.409, 9.409, 11.211 Å; angles 108.57, 108.57, 52.53 degrees
Element x y z (fractional)
K 0.046 0.954 0.750
K 0.954 0.046 0.250
Hf 0.500 0.500 0.000
Hf 0.500 0.500 0.500
I 0.144 0.604 0.482
I 0.146 0.598 0.882
I 0.383 0.617 0.250
I 0.396 0.856 0.018
I 0.402 0.854 0.618
I 0.598 0.146 0.382
I 0.604 0.144 0.982
I 0.617 0.383 0.750
I 0.854 0.402 0.118
I 0.856 0.396 0.518

***

The following final energy values (in eV per atom) correspond, in order, to the records above: -4.47 -3.39 -3.71.